No. 1
{"formula": "Dy2Be3Cu12Pd", "functional": "PBE", "state": "optimized geometry", "lattice_angstrom": [[7.1985, -0.2000, -0.1418], [3.3811, 6.3582, -0.1418], [3.3811, 1.9681, 6.0476]], "species": ["Dy", "Dy", "Be", "Be", "Be", "Cu", "Cu", "Cu", "Cu", "Cu", "Cu", "Cu", "Cu", "Cu", "Cu", "Cu", "Cu", "Pd"], "frac_coords": [[0.5998, 0.5998, 0.5998], [0.4002, 0.4002, 0.4002], [0.5000, 0.0000, 0.0000], [0.0000, 0.5000, 0.0000], [0.0000, 0.0000, 0.5000], [0.3336, 0.3336, 0.8929], [0.8656, 0.8656, 0.4022], [0.4022, 0.8656, 0.8656], [0.8929, 0.3336, 0.3336], [0.8656, 0.4022, 0.8656], [0.3336, 0.8929, 0.3336], [0.6664, 0.6664, 0.1071], [0.1344, 0.1344, 0.5978], [0.5978, 0.1344, 0.1344], [0.1071, 0.6664, 0.6664], [0.1344, 0.5978, 0.1344], [0.6664, 0.1071, 0.6664], [0.0000, 0.0000, 0.0000]], "magnetic_moment_mub_per_cell": 0.0, "ef_mev_per_atom": 330.7, "space_group": "R-3m (166)", "final_energy_ev_per_atom": -3.8210}


No. 2
{"formula": "PmDyBeCu", "functional": "PBE", "state": "optimized geometry", "lattice_angstrom": [[4.9421, 0.0000, 0.0000], [2.4711, 4.2800, 0.0000], [2.4711, 1.4267, 4.0352]], "species": ["Be", "Pm", "Cu", "Dy"], "frac_coords": [[0.0000, 0.0000, 0.0000], [0.2500, 0.2500, 0.2500], [0.5000, 0.5000, 0.5000], [0.7500, 0.7500, 0.7500]], "magnetic_moment_mub_per_cell": 0.0, "ef_mev_per_atom": -18.2, "space_group": "F-43m (216)", "final_energy_ev_per_atom": -4.3120}


No. 3
{"formula": "Dy2Be4CuPt3", "functional": "PBE", "state": "optimized geometry", "lattice_angstrom": [[-2.1251, 0.2900, 3.3712], [-2.9821, -2.0415, -1.7042], [3.7818, -8.0960, 3.0805]], "species": ["Dy", "Dy", "Be", "Be", "Be", "Be", "Cu", "Pt", "Pt", "Pt"], "frac_coords": [[0.5000, 0.0000, 0.2507], [0.0000, 0.5000, 0.7493], [0.5000, 0.5000, 0.0000], [0.0000, 0.0000, 0.0000], [0.5000, 0.0000, 0.6226], [0.0000, 0.5000, 0.3774], [0.5000, 0.5000, 0.5000], [0.0000, 0.0000, 0.5000], [0.5000, 0.0000, 0.8708], [0.0000, 0.5000, 0.1292]], "magnetic_moment_mub_per_cell": 0.0, "ef_mev_per_atom": -741.2, "space_group": "P-4m2 (115)", "final_energy_ev_per_atom": -5.3739}


No. 4
{"formula": "Dy2Be3CuPt4", "functional": "PBE", "state": "optimized geometry", "lattice_angstrom": [[3.9864, 0.0000, 0.0000], [0.0000, 3.9864, 0.0000], [0.0000, 0.0000, 9.9822]], "species": ["Dy", "Dy", "Be", "Be", "Be", "Cu", "Pt", "Pt", "Pt", "Pt"], "frac_coords": [[0.5000, 0.0000, 0.2471], [0.0000, 0.5000, 0.7529], [0.0000, 0.0000, 0.5000], [0.5000, 0.0000, 0.8795], [0.0000, 0.5000, 0.1205], [0.5000, 0.5000, 0.5000], [0.5000, 0.5000, 0.0000], [0.0000, 0.0000, 0.0000], [0.5000, 0.0000, 0.6496], [0.0000, 0.5000, 0.3504]], "magnetic_moment_mub_per_cell": 0.0, "ef_mev_per_atom": -854.2, "space_group": "P-4m2 (115)", "final_energy_ev_per_atom": -5.7184}


No. 5
{"formula": "DyBe2CuPt5", "functional": "PBE", "state": "optimized geometry", "lattice_angstrom": [[4.3563, 0.0000, 0.0000], [0.0000, 4.3563, 0.0000], [0.0000, 0.0000, 7.1074]], "species": ["Dy", "Be", "Be", "Cu", "Pt", "Pt", "Pt", "Pt", "Pt"], "frac_coords": [[0.0000, 0.0000, 0.5000], [0.5000, 0.5000, 0.1579], [0.5000, 0.5000, 0.8421], [0.0000, 0.0000, 0.0000], [0.0000, 0.5000, 0.2162], [0.5000, 0.0000, 0.2162], [0.0000, 0.5000, 0.7838], [0.5000, 0.0000, 0.7838], [0.5000, 0.5000, 0.5000]], "magnetic_moment_mub_per_cell": 0.0, "ef_mev_per_atom": -587.4, "space_group": "P4/mmm (123)", "final_energy_ev_per_atom": -5.7379}


No. 6
{"formula": "Dy2BeCuPt6", "functional": "PBE", "state": "optimized geometry", "lattice_angstrom": [[5.5411, -0.0022, -0.0027], [0.0033, 7.5255, 1.4406], [2.7750, 4.7377, 5.3453]], "species": ["Dy", "Dy", "Be", "Cu", "Pt", "Pt", "Pt", "Pt", "Pt", "Pt"], "frac_coords": [[0.7955, 0.2048, 0.4090], [0.2045, 0.7952, 0.5910], [0.0000, 0.0000, 0.0000], [0.5000, 0.5000, 0.0000], [0.2417, 0.2643, 0.5166], [0.7362, 0.7587, 0.0220], [0.2418, 0.7587, 0.0219], [0.7582, 0.2413, 0.9781], [0.2638, 0.2413, 0.9780], [0.7583, 0.7357, 0.4834]], "magnetic_moment_mub_per_cell": 0.0, "ef_mev_per_atom": -748.5, "space_group": "R-3m (166)", "final_energy_ev_per_atom": -6.0756}


No. 7
{"formula": "DyScBeCu", "functional": "PBE", "state": "optimized geometry", "lattice_angstrom": [[4.7198, 0.0000, 0.0000], [2.3599, 4.0875, 0.0000], [2.3599, 1.3625, 3.8537]], "species": ["Sc", "Be", "Cu", "Dy"], "frac_coords": [[0.5000, 0.5000, 0.5000], [0.2500, 0.2500, 0.2500], [0.7500, 0.7500, 0.7500], [0.0000, 0.0000, 0.0000]], "magnetic_moment_mub_per_cell": 0.0, "ef_mev_per_atom": -79.1, "space_group": "F-43m (216)", "final_energy_ev_per_atom": -4.7681}


No. 8
{"formula": "Dy2Be3Cu12Si", "functional": "PBE", "state": "optimized geometry", "lattice_angstrom": [[7.2160, -0.1429, -0.1013], [3.4394, 6.3452, -0.1013], [3.4394, 2.0020, 6.0219]], "species": ["Dy", "Dy", "Be", "Be", "Be", "Cu", "Cu", "Cu", "Cu", "Cu", "Cu", "Cu", "Cu", "Cu", "Cu", "Cu", "Cu", "Si"], "frac_coords": [[0.6053, 0.6053, 0.6053], [0.3947, 0.3947, 0.3947], [0.5000, 0.0000, 0.0000], [0.0000, 0.5000, 0.0000], [0.0000, 0.0000, 0.5000], [0.3417, 0.3417, 0.9009], [0.8784, 0.8784, 0.3780], [0.3780, 0.8784, 0.8784], [0.9009, 0.3417, 0.3417], [0.8784, 0.3780, 0.8784], [0.3417, 0.9009, 0.3417], [0.6583, 0.6583, 0.0991], [0.1216, 0.1216, 0.6220], [0.6220, 0.1216, 0.1216], [0.0991, 0.6583, 0.6583], [0.1216, 0.6220, 0.1216], [0.6583, 0.0991, 0.6583], [0.0000, 0.0000, 0.0000]], "magnetic_moment_mub_per_cell": 0.0, "space_group": "R-3m (166)", "formation_energy_uncorrected_ev_per_atom": 0.291, "final_energy_ev_per_atom": -3.8737}